(1)
VASP calculation (PBE) on a geometry-optimized Hf4CuGeN2 structure.

The space group is P-6m2 (No. 187) and the conventional cell measures 3.2160, 3.2160 and 13.4867 Å, with angles of 90.00, 90.00 and 120.00 degrees. Symmetry generates all atoms from Hf at (0.0000, 0.0000, 0.1545), Hf at (0.6667, 0.3333, 0.3423), Cu at (0.6667, 0.3333, 0.0000), Ge at (0.0000, 0.0000, 0.5000) and N at (0.3333, 0.6667, 0.2475).

Its energy is -0.3345 Ha/atom.

(2)
VASP calculation (PBE) on a geometry-optimized HfNbCuGe structure.

The space group is F-43m (No. 216) and the conventional cell measures 6.4802, 6.4802 and 6.4802 Å, with angles of 90.00, 90.00 and 90.00 degrees. Symmetry generates all atoms from Hf at (0.0000, 0.0000, 0.0000), Nb at (0.2500, 0.2500, 0.2500), Cu at (0.2500, 0.2500, 0.7500) and Ge at (0.0000, 0.0000, 0.5000).

The calculation puts the excess energy over the best structure of this formula in the dataset at 0.0 meV per atom.

(3)
VASP calculation (PBE) on a geometry-optimized HfCuNiGe structure.

The space group is F-43m (No. 216) and the conventional cell measures 6.1894, 6.1894 and 6.1894 Å, with angles of 90.00, 90.00 and 90.00 degrees. Symmetry generates all atoms from Hf at (0.0000, 0.0000, 0.0000), Cu at (0.0000, 0.0000, 0.5000), Ni at (0.2500, 0.2500, 0.7500) and Ge at (0.2500, 0.2500, 0.2500).

The calculation puts the excess energy over the best structure of this formula in the dataset at 84.2 meV per atom.

(4)
VASP calculation (PBE) on a geometry-optimized HfCuNiGe structure.

The space group is F-43m (No. 216) and the conventional cell measures 6.1398, 6.1398 and 6.1398 Å, with angles of 90.00, 90.00 and 90.00 degrees. Symmetry generates all atoms from Hf at (0.0000, 0.0000, 0.0000), Cu at (0.2500, 0.2500, 0.7500), Ni at (0.2500, 0.2500, 0.2500) and Ge at (0.0000, 0.0000, 0.5000).

The calculation puts the excess energy over the best structure of this formula in the dataset at 0.0 meV per atom.

(5)
VASP calculation (PBE) on a geometry-optimized HfCuNiGe structure.

The space group is F-43m (No. 216) and the conventional cell measures 6.1817, 6.1817 and 6.1817 Å, with angles of 90.00, 90.00 and 90.00 degrees. Symmetry generates all atoms from Hf at (0.0000, 0.0000, 0.0000), Cu at (0.2500, 0.2500, 0.7500), Ni at (0.0000, 0.0000, 0.5000) and Ge at (0.2500, 0.2500, 0.2500).

The calculation puts the excess energy over the best structure of this formula in the dataset at 98.9 meV per atom.

(6)
VASP calculation (PBE) on a geometry-optimized HfScCuGe structure.

The space group is F-43m (No. 216) and the conventional cell measures 6.6000, 6.6000 and 6.6000 Å, with angles of 90.00, 90.00 and 90.00 degrees. Symmetry generates all atoms from Hf at (0.0000, 0.0000, 0.0000), Sc at (0.2500, 0.2500, 0.7500), Cu at (0.0000, 0.0000, 0.5000) and Ge at (0.2500, 0.2500, 0.2500).

The calculation puts the excess energy over the best structure of this formula in the dataset at 0.0 meV per atom.

(7)
VASP calculation (PBE) on a geometry-optimized Hf2ScCu4Ge4 structure.

The space group is Immm (No. 71) and the conventional cell measures 3.9857, 6.5659 and 13.2513 Å, with angles of 90.00, 90.00 and 90.00 degrees. Symmetry generates all atoms from Hf at (0.0000, 0.0000, 0.1231), Sc at (0.0000, 0.5000, 0.0000), Cu at (0.0000, 0.1950, 0.3272), Ge at (0.0000, 0.3012, 0.5000) and Ge at (0.0000, 0.5000, 0.2160).

Its energy is -0.2154 Ha/atom.

(8)
VASP calculation (PBE) on a geometry-optimized HfSc2Cu4Ge4 structure.

The space group is Immm (No. 71) and the conventional cell measures 4.0250, 6.5260 and 13.2928 Å, with angles of 90.00, 90.00 and 90.00 degrees. Symmetry generates all atoms from Hf at (0.0000, 0.0000, 0.0000), Sc at (0.0000, 0.5000, 0.1261), Cu at (0.0000, 0.3066, 0.3284), Ge at (0.0000, 0.0000, 0.2165) and Ge at (0.0000, 0.1973, 0.5000).

Its energy is -0.2058 Ha/atom.

(9)
VASP calculation (PBE) on a geometry-optimized HfTaCuGe structure.

The space group is F-43m (No. 216) and the conventional cell measures 6.5004, 6.5004 and 6.5004 Å, with angles of 90.00, 90.00 and 90.00 degrees. Symmetry generates all atoms from Hf at (0.0000, 0.0000, 0.0000), Ta at (0.2500, 0.2500, 0.2500), Cu at (0.2500, 0.2500, 0.7500) and Ge at (0.0000, 0.0000, 0.5000).

The calculation puts the excess energy over the best structure of this formula in the dataset at 0.0 meV per atom.

(10)
VASP calculation (PBE) on a geometry-optimized HfTaCu2Ge4 structure.

The space group is P4mm (No. 99) and the conventional cell measures 3.7408, 3.7408 and 9.0984 Å, with angles of 90.00, 90.00 and 90.00 degrees. Symmetry generates all atoms from Hf at (0.0000, 0.0000, 0.0000), Ta at (0.5000, 0.5000, 0.5364), Cu at (0.0000, 0.5000, 0.2679), Ge at (0.0000, 0.0000, 0.4497), Ge at (0.0000, 0.5000, 0.7623) and Ge at (0.5000, 0.5000, 0.0853).

Its energy is -0.2299 Ha/atom.

(11)
VASP calculation (PBE) on a geometry-optimized HfCuTcGe structure.

The space group is F-43m (No. 216) and the conventional cell measures 6.3628, 6.3628 and 6.3628 Å, with angles of 90.00, 90.00 and 90.00 degrees. Symmetry generates all atoms from Hf at (0.0000, 0.0000, 0.0000), Cu at (0.0000, 0.0000, 0.5000), Tc at (0.2500, 0.2500, 0.7500) and Ge at (0.2500, 0.2500, 0.2500).

The calculation puts the excess energy over the best structure of this formula in the dataset at 241.8 meV per atom.

(12)
VASP calculation (PBE) on a geometry-optimized HfCuTcGe structure.

The space group is F-43m (No. 216) and the conventional cell measures 6.2809, 6.2809 and 6.2809 Å, with angles of 90.00, 90.00 and 90.00 degrees. Symmetry generates all atoms from Hf at (0.0000, 0.0000, 0.0000), Cu at (0.2500, 0.2500, 0.7500), Tc at (0.2500, 0.2500, 0.2500) and Ge at (0.0000, 0.0000, 0.5000).

The calculation puts the excess energy over the best structure of this formula in the dataset at 0.0 meV per atom.